Entry from Alexandria: crystalline Zr8VBi2 at its relaxed geometry (PBE-GGA).

abc: 5.175 6.733 8.351
angles: 113.73 108.05 90.00
Atoms (fractional coordinates):
Bi 0.813 0.313 0.626
Zr 0.632 0.869 0.265
Zr 0.173 0.173 0.346
Zr 0.000 0.747 0.000
Zr 0.827 0.827 0.654
Bi 0.187 0.687 0.374
V 0.500 0.000 0.000
Zr 0.368 0.604 0.736
Zr 0.632 0.396 0.264
Zr 0.368 0.131 0.735
Zr 0.000 0.253 0.000

Calculated values
Formation energy from the elements   -0.08 eV per atom
Size of the total moment   0.00 μB per formula unit
Uncorrected energy   -7.835 eV/atom

=====

Entry from Alexandria: crystalline Hf2NbIn2 at its relaxed geometry (PBE-GGA).

abc: 7.516 7.516 3.827
angles: 90.00 90.00 90.00
Atoms (fractional coordinates):
Nb 0.500 0.500 0.000
In 0.869 0.631 0.000
Hf 0.825 0.325 0.500
In 0.631 0.131 0.000
Hf 0.325 0.175 0.500
In 0.131 0.369 0.000
Hf 0.675 0.825 0.500
Hf 0.175 0.675 0.500
In 0.369 0.869 0.000
Nb 0.000 0.000 0.000

Calculated values
Formation energy from the elements   0.07 eV per atom
Size of the total moment   0.00 μB per formula unit
Uncorrected energy   -7.016 eV/atom